No. 1
Density functional theory data (PBE) for a relaxed structure of Co17Ni12.

Values from the calculation:
- Space-group type: No. 217
- Raw total energy: -184.9 eV/cell
- Crystal system: cubic

Structure (POSCAR):
```
Co17Ni12
1.0
-4.287 4.287 4.287
4.287 -4.287 4.287
4.287 4.287 -4.287
Co Ni
17 12
direct
0.000 0.000 0.000 Co
0.000 0.000 0.637 Co
0.000 0.409 0.684 Co
0.000 0.637 0.000 Co
0.000 0.684 0.409 Co
0.275 0.591 0.591 Co
0.316 0.316 0.725 Co
0.316 0.725 0.316 Co
0.363 0.363 0.363 Co
0.409 0.000 0.684 Co
0.409 0.684 0.000 Co
0.591 0.275 0.591 Co
0.591 0.591 0.275 Co
0.637 0.000 0.000 Co
0.684 0.000 0.409 Co
0.684 0.409 0.000 Co
0.725 0.316 0.316 Co
0.000 0.191 0.376 Ni
0.000 0.376 0.191 Ni
0.185 0.809 0.809 Ni
0.191 0.000 0.376 Ni
0.191 0.376 0.000 Ni
0.376 0.000 0.191 Ni
0.376 0.191 0.000 Ni
0.624 0.624 0.815 Ni
0.624 0.815 0.624 Ni
0.809 0.185 0.809 Ni
0.809 0.809 0.185 Ni
0.815 0.624 0.624 Ni
```


No. 2
Density functional theory data (PBE) for a relaxed structure of Co7Ni5.

Values from the calculation:
- Space-group type: No. 194
- Raw total energy: -150.1 eV/cell
- Crystal system: hexagonal

Structure (POSCAR):
```
Co7Ni5
1.0
4.585 0.000 0.000
-2.292 3.970 0.000
0.000 0.000 14.911
Co Ni
14 10
direct
0.000 0.000 0.090 Co
0.000 0.000 0.410 Co
0.000 0.000 0.590 Co
0.000 0.000 0.910 Co
0.161 0.322 0.250 Co
0.161 0.839 0.250 Co
0.322 0.161 0.750 Co
0.333 0.667 0.658 Co
0.333 0.667 0.842 Co
0.667 0.333 0.158 Co
0.667 0.333 0.342 Co
0.678 0.839 0.250 Co
0.839 0.161 0.750 Co
0.839 0.678 0.750 Co
0.000 0.500 0.000 Ni
0.000 0.500 0.500 Ni
0.333 0.667 0.127 Ni
0.333 0.667 0.373 Ni
0.500 0.000 0.000 Ni
0.500 0.000 0.500 Ni
0.500 0.500 0.000 Ni
0.500 0.500 0.500 Ni
0.667 0.333 0.627 Ni
0.667 0.333 0.873 Ni
```


No. 3
Density functional theory data (PBE) for a relaxed structure of Co11Ni2.

Values from the calculation:
- Space-group type: No. 166
- Raw total energy: -87.6 eV/cell
- Crystal system: trigonal

Structure (POSCAR):
```
Co11Ni2
1.0
2.281 1.317 8.062
-2.281 1.317 8.062
0.000 -2.634 8.062
Co Ni
11 2
direct
0.000 0.000 0.000 Co
0.090 0.090 0.583 Co
0.090 0.583 0.090 Co
0.165 0.165 0.165 Co
0.350 0.350 0.350 Co
0.417 0.910 0.910 Co
0.583 0.090 0.090 Co
0.650 0.650 0.650 Co
0.835 0.835 0.835 Co
0.910 0.417 0.910 Co
0.910 0.910 0.417 Co
0.453 0.453 0.453 Ni
0.547 0.547 0.547 Ni
```


No. 4
Density functional theory data (PBE) for a relaxed structure of Co8Ni5.

Values from the calculation:
- Space-group type: No. 166
- Raw total energy: -82.9 eV/cell
- Crystal system: trigonal

Structure (POSCAR):
```
Co8Ni5
1.0
2.284 1.319 8.062
-2.284 1.319 8.062
0.000 -2.637 8.062
Co Ni
8 5
direct
0.090 0.090 0.583 Co
0.090 0.583 0.090 Co
0.165 0.165 0.165 Co
0.417 0.910 0.910 Co
0.583 0.090 0.090 Co
0.835 0.835 0.835 Co
0.910 0.417 0.910 Co
0.910 0.910 0.417 Co
0.000 0.000 0.000 Ni
0.351 0.351 0.351 Ni
0.453 0.453 0.453 Ni
0.547 0.547 0.547 Ni
0.649 0.649 0.649 Ni
```


No. 5
Density functional theory data (PBE) for a relaxed structure of CoNi2.

Values from the calculation:
- Space-group type: No. 194
- Raw total energy: -140.8 eV/cell
- Crystal system: hexagonal

Structure (POSCAR):
```
CoNi2
1.0
4.588 0.000 0.000
-2.294 3.973 0.000
0.000 0.000 14.858
Co Ni
8 16
direct
0.000 0.000 0.092 Co
0.000 0.000 0.408 Co
0.000 0.000 0.592 Co
0.000 0.000 0.908 Co
0.333 0.667 0.156 Co
0.333 0.667 0.344 Co
0.667 0.333 0.656 Co
0.667 0.333 0.844 Co
0.000 0.500 0.000 Ni
0.000 0.500 0.500 Ni
0.163 0.325 0.750 Ni
0.163 0.837 0.750 Ni
0.325 0.163 0.250 Ni
0.333 0.667 0.626 Ni
0.333 0.667 0.874 Ni
0.500 0.000 0.000 Ni
0.500 0.000 0.500 Ni
0.500 0.500 0.000 Ni
0.500 0.500 0.500 Ni
0.667 0.333 0.126 Ni
0.667 0.333 0.374 Ni
0.675 0.837 0.750 Ni
0.837 0.163 0.250 Ni
0.837 0.675 0.250 Ni
```


No. 6
Density functional theory data (PBE) for a relaxed structure of CoNi2.

Values from the calculation:
- Space-group type: No. 194
- Raw total energy: -140.9 eV/cell
- Crystal system: hexagonal

Structure (POSCAR):
```
CoNi2
1.0
4.584 0.000 0.000
-2.292 3.970 0.000
0.000 0.000 14.933
Co Ni
8 16
direct
0.333 0.667 0.127 Co
0.333 0.667 0.373 Co
0.333 0.667 0.652 Co
0.333 0.667 0.848 Co
0.667 0.333 0.152 Co
0.667 0.333 0.348 Co
0.667 0.333 0.627 Co
0.667 0.333 0.873 Co
0.000 0.000 0.091 Ni
0.000 0.000 0.409 Ni
0.000 0.000 0.591 Ni
0.000 0.000 0.909 Ni
0.000 0.500 0.000 Ni
0.000 0.500 0.500 Ni
0.162 0.324 0.250 Ni
0.162 0.838 0.250 Ni
0.324 0.162 0.750 Ni
0.500 0.000 0.000 Ni
0.500 0.000 0.500 Ni
0.500 0.500 0.000 Ni
0.500 0.500 0.500 Ni
0.676 0.838 0.250 Ni
0.838 0.162 0.750 Ni
0.838 0.676 0.750 Ni
```